Entry 1:
IrOs2Au | PBE-GGA | optimized geometry

Lattice parameters (Å, degrees): 4.868 4.868 4.868 133.03 133.03 68.60
Positions (direct):
Au  0.250  0.750  0.500
Ir  0.750  0.250  0.500
Os  0.000  0.000  0.000
Os  0.500  0.500  0.000

Output
symmetry = I4/mmm (139)
polymorph energy (0 for the lowest one) = 309 meV/atom
formation energy = 54.51 kJ/mol of atoms
crystal system = tetragonal

=====

Entry 2:
TaSi2Br | PBE-GGA | optimized geometry

Lattice parameters (Å, degrees): 5.401 5.401 5.401 144.18 130.51 62.59
Positions (direct):
Si  0.519  0.519  0.000
Si  0.981  0.981  0.000
Br  0.250  0.750  0.500
Ta  0.750  0.250  0.500

Output
symmetry = Immm (71)
formation energy (no corrections) = 552 meV/atom
polymorph energy (0 for the lowest one) = 532 meV/atom
crystal system = orthorhombic

=====

Entry 3:
CsTbTe3 | PBE-GGA | optimized geometry

Lattice parameters (Å, degrees): 7.218 6.733 17.049 90.00 90.00 90.00
Positions (direct):
Te  0.250  0.545  0.805
Te  0.000  0.750  0.505
Te  0.000  0.250  0.495
Te  0.250  0.114  0.937
Te  0.250  0.045  0.195
Te  0.750  0.455  0.195
Te  0.500  0.250  0.495
Te  0.750  0.386  0.937
Te  0.750  0.886  0.063
Te  0.250  0.614  0.063
Te  0.500  0.750  0.505
Te  0.750  0.955  0.805
Cs  0.750  0.970  0.313
Cs  0.250  0.530  0.313
Cs  0.750  0.470  0.687
Cs  0.250  0.030  0.687
Tb  0.000  0.750  0.921
Tb  0.500  0.250  0.079
Tb  0.000  0.250  0.079
Tb  0.500  0.750  0.921

Output
symmetry = Pbcm (57)
formation energy (no corrections) = -971 meV/atom
crystal system = orthorhombic

=====

Entry 4:
TaAg2Se | PBE-GGA | optimized geometry

Lattice parameters (Å, degrees): 2.851 2.851 9.374 90.00 90.00 90.00
Positions (direct):
Ag  0.000  0.000  0.516
Ag  0.000  0.000  0.984
Ta  0.500  0.500  0.750
Se  0.500  0.500  0.250

Output
symmetry = P4/mmm (123)
formation energy (no corrections) = 292 meV/atom
crystal system = tetragonal

=====

Entry 5:
Pm3Pr4Er8 | PBE-GGA | optimized geometry

Lattice parameters (Å, degrees): 6.784 9.333 9.333 87.39 111.37 111.37
Positions (direct):
Er  0.500  0.257  0.743
Er  0.471  0.731  0.731
Er  0.500  0.743  0.257
Er  0.000  0.361  0.639
Er  0.992  0.730  0.730
Er  0.008  0.270  0.270
Er  0.000  0.639  0.361
Er  0.529  0.269  0.269
Pr  0.000  0.500  0.000
Pr  0.500  0.000  0.000
Pr  0.000  0.000  0.000
Pr  0.000  0.000  0.500
Pm  0.500  0.000  0.500
Pm  0.500  0.500  0.000
Pm  0.500  0.500  0.500

Output
symmetry = C2/m (12)
formation energy = 34.33 kJ/mol of atoms
crystal system = monoclinic

=====

Entry 6:
Y2VSe | PBE-GGA | optimized geometry

Lattice parameters (Å, degrees): 7.871 7.871 6.509 52.80 52.80 90.00
Positions (direct):
Y  0.375  0.356  0.750
Y  0.644  0.125  0.250
Y  0.875  0.894  0.750
Y  0.106  0.625  0.250
Se  0.000  0.000  0.000
Se  0.750  0.250  0.500
V  0.500  0.500  0.000
V  0.250  0.750  0.500

Output
symmetry = I-42d (122)
formation energy (no corrections) = -64 meV/atom
polymorph energy (0 for the lowest one) = 70 meV/atom
crystal system = tetragonal

=====

Entry 7:
Sm2ErBr | PBE-GGA | optimized geometry

Lattice parameters (Å, degrees): 3.554 3.554 9.585 90.00 90.00 90.00
Positions (direct):
Sm  0.000  0.000  0.763
Sm  0.000  0.000  0.237
Br  0.500  0.500  0.000
Er  0.500  0.500  0.500

Output
symmetry = P4/mmm (123)
formation energy (no corrections) = -456 meV/atom
polymorph energy (0 for the lowest one) = 79 meV/atom
crystal system = tetragonal

=====

Entry 8:
CaPrCo | PBE-GGA | optimized geometry

Lattice parameters (Å, degrees): 3.901 7.105 7.448 118.47 105.20 90.00
Positions (direct):
Ca  0.138  0.062  0.394
Ca  0.673  0.597  0.465
Pr  0.405  0.570  0.929
Pr  0.405  0.088  0.929
Co  0.812  0.236  0.742
Co  0.999  0.423  0.116

Output
symmetry = C2/m (12)
polymorph energy (0 for the lowest one) = 123 meV/atom
formation energy = 9.85 kJ/mol of atoms
crystal system = monoclinic

=====

Entry 9:
CeCdPt | PBE-GGA | optimized geometry

Lattice parameters (Å, degrees): 3.442 4.758 4.758 120.00 90.00 90.00
Positions (direct):
Cd  0.167  0.333  0.667
Pt  0.166  0.000  0.000
Ce  0.667  0.667  0.333

Output
symmetry = P-6m2 (187)
formation energy = -59.43 kJ/mol of atoms
crystal system = hexagonal

=====

Entry 10:
NbHSe2 | PBE-GGA | optimized geometry

Lattice parameters (Å, degrees): 4.496 4.496 4.496 60.00 60.00 60.00
Positions (direct):
H  0.000  0.000  0.000
Nb  0.500  0.500  0.500
Se  0.250  0.250  0.250
Se  0.750  0.750  0.750

Output
symmetry = Fm-3m (225)
polymorph energy (0 for the lowest one) = 970 meV/atom
crystal system = cubic

=====

Entry 11:
YTeP | PBE-GGA | optimized geometry

Lattice parameters (Å, degrees): 4.688 4.688 4.172 90.00 90.00 120.00
Positions (direct):
Y  0.667  0.333  0.500
Te  0.333  0.667  0.000
P  0.000  0.000  0.500

Output
symmetry = P-6m2 (187)
formation energy (no corrections) = -583 meV/atom
crystal system = hexagonal

=====

Entry 12:
Ac2Sb2Rh | PBE-GGA | optimized geometry

Lattice parameters (Å, degrees): 4.590 6.453 11.374 80.43 78.37 69.15
Positions (direct):
Ac  0.313  0.731  0.644
Ac  0.074  0.736  0.116
Ac  0.687  0.269  0.356
Ac  0.926  0.264  0.884
Sb  0.935  0.713  0.417
Sb  0.343  0.177  0.137
Sb  0.657  0.823  0.863
Sb  0.065  0.287  0.583
Rh  0.442  0.809  0.307
Rh  0.558  0.191  0.693

Output
symmetry = C2/m (12)
formation energy (no corrections) = -984 meV/atom
crystal system = monoclinic

=====

Entry 13:
Er2Ge4Mo3 | PBE-GGA | optimized geometry

Lattice parameters (Å, degrees): 6.884 6.972 7.036 90.00 90.00 109.29
Positions (direct):
Er  0.556  0.191  0.328
Er  0.444  0.809  0.672
Er  0.944  0.809  0.828
Er  0.056  0.191  0.172
Mo  0.247  0.248  0.658
Mo  0.253  0.752  0.158
Mo  0.753  0.752  0.342
Mo  0.747  0.248  0.842
Mo  0.500  0.500  0.000
Mo  0.000  0.500  0.500
Ge  0.633  0.496  0.637
Ge  0.643  0.909  0.046
Ge  0.143  0.909  0.454
Ge  0.367  0.504  0.363
Ge  0.867  0.504  0.137
Ge  0.133  0.496  0.863
Ge  0.857  0.091  0.546
Ge  0.357  0.091  0.954

Output
symmetry = P2_1/c (14)
formation energy = -51.91 kJ/mol of atoms
crystal system = monoclinic

=====

Entry 14:
BaGaBr3 | PBE-GGA | optimized geometry

Lattice parameters (Å, degrees): 6.291 6.291 6.291 90.00 90.00 90.00
Positions (direct):
Ga  0.500  0.500  0.500
Br  0.500  0.000  0.000
Br  0.000  0.000  0.500
Br  0.000  0.500  0.000
Ba  0.000  0.000  0.000

Output
symmetry = Pm-3m (221)
formation energy (no corrections) = -1248 meV/atom
polymorph energy (0 for the lowest one) = 227 meV/atom
crystal system = cubic

=====

Entry 15:
Ac5CdSn3 | PBE-GGA | optimized geometry

Lattice parameters (Å, degrees): 7.228 10.158 10.157 120.00 90.00 90.00
Positions (direct):
Ac  0.000  0.333  0.667
Ac  0.250  0.715  0.000
Ac  0.750  0.715  0.715
Ac  0.250  0.000  0.715
Ac  0.750  0.285  0.000
Ac  0.500  0.333  0.667
Ac  0.750  0.000  0.285
Ac  0.250  0.285  0.285
Ac  0.500  0.667  0.333
Ac  0.000  0.667  0.333
Sn  0.250  0.372  0.000
Sn  0.250  0.628  0.628
Sn  0.250  0.000  0.372
Sn  0.750  0.628  0.000
Sn  0.750  0.372  0.372
Sn  0.750  0.000  0.628
Cd  0.000  0.000  0.000
Cd  0.500  0.000  0.000

Output
symmetry = P6_3/mcm (193)
formation energy = -53.91 kJ/mol of atoms
crystal system = hexagonal

=====

We obtain size of the total moment values of 0.0, 0.0, 0.0, 0.0, 0.0, 8.1, 0.0, 0.4, 0.3, 0.8, 0.0, 0.0, 0.0, 0.0, 2.7 μB/cell for the records listed above, in that order.
We obtain calculated total energy values of -8.084, -5.541, -3.953, -4.968, -4.302, -6.447, -4.374, -4.527, -4.913, -4.888, -5.588, -5.746, -7.215, -3.241, -4.277 eV per atom for the records listed above, in that order.